1.
Here is a relaxed TlC2 crystal from the Alexandria database. Energies are from GGA-PBEsol.

It has space group P-3m1 (No. 164), with a = 3.6424 Å, b = 3.6424 Å, c = 12.9089 Å, α = 90.00°, β = 90.00° and γ = 120.00°. The distinct sites, in fractional coordinates, are Tl at (0.0000, 0.0000, 0.0000), Tl at (0.3333, 0.6667, 0.3639), C at (0.0000, 0.0000, 0.4479), C at (0.3333, 0.6667, 0.0999) and C at (0.3333, 0.6667, 0.1970).

The value obtained for the offset from the most stable computed form is 615.1 meV per atom. For the total energy, the calculation gives -52.54 eV for the cell shown. As for the calculated volume: 16.5 A^3/atom.



2.
Here is a relaxed K3IO5 crystal from the Alexandria database. Energies are from GGA-PBEsol.

It has space group P4/nmm (No. 129, origin choice 2), with a = 6.2174 Å, b = 6.2174 Å, c = 8.1844 Å, α = 90.00°, β = 90.00° and γ = 90.00°. The distinct sites, in fractional coordinates, are K at (0.2500, 0.2500, 0.2164), K at (0.2500, 0.7500, 0.0000), K at (0.2500, 0.7500, 0.5000), I at (0.2500, 0.2500, 0.7430), O at (0.0427, 0.0427, 0.7889) and O at (0.2500, 0.2500, 0.5212).

As for the uncorrected formation energy: -111.2 kJ/mol of atoms. For the total energy, the calculation gives -83.57 eV for the cell shown. As for the calculated volume: 17.6 A^3/atom.